Entry from Alexandria: GaCuSb2I at its PBEsol-relaxed geometry (SCAN).

The space group is P4/mmm (No. 123) and the conventional cell measures 4.9816, 4.9816 and 5.5453 Å, with angles of 90.00, 90.00 and 90.00 degrees. The distinct sites, in fractional coordinates, are Ga at (0.0000, 0.0000, 0.0000), Cu at (0.5000, 0.5000, 0.5000), Sb at (0.0000, 0.5000, 0.5000) and I at (0.5000, 0.5000, 0.0000).

For the calculated density, the calculation gives 6.078 Mg/m³. As for the uncorrected formation energy: 0.493 eV per atom.